Density functional theory data (PBE-GGA) for a geometry-optimized Tb7Cu2Pd2 structure.

Cell lengths 6.601, 7.220, 6.601 Å; angles 90.00, 110.43, 90.00 degrees
Positions (direct):
Tb  0.000  0.273  0.500
Tb  0.500  0.727  0.000
Tb  0.000  0.727  0.500
Tb  0.500  0.273  0.000
Tb  0.000  0.000  0.000
Tb  0.500  0.733  0.500
Tb  0.500  0.267  0.500
Cu  0.829  0.500  0.829
Cu  0.171  0.500  0.171
Pd  0.707  0.000  0.293
Pd  0.293  0.000  0.707

Calculated values
Total magnetization = 0.00 μB per formula unit
Space-group type = No. 65
N(E_F) = 13.4 states/eV/f.u.
Calculated volume = 294.8 Å³ per cell
Formation enthalpy at 0 K = -1.8 eV per formula unit


Density functional theory data (PBE-GGA) for a geometry-optimized Tb3Cu2Pd3 structure.

Cell lengths 4.072, 5.515, 15.411 Å; angles 90.00, 90.00, 111.66 degrees
Positions (direct):
Tb  0.928  0.856  0.397
Tb  0.072  0.144  0.897
Tb  0.928  0.856  0.103
Tb  0.072  0.144  0.603
Tb  0.653  0.306  0.250
Tb  0.347  0.694  0.750
Cu  0.780  0.559  0.887
Cu  0.220  0.441  0.387
Cu  0.780  0.559  0.613
Cu  0.220  0.441  0.113
Pd  0.629  0.259  0.466
Pd  0.371  0.741  0.966
Pd  0.629  0.259  0.034
Pd  0.371  0.741  0.534
Pd  0.372  0.744  0.250
Pd  0.628  0.256  0.750

Calculated values
Total magnetization = 0.00 μB per formula unit
Space-group type = No. 63
N(E_F) = 3.9 states/eV/f.u.
Calculated volume = 321.6 Å³ per cell
Formation enthalpy at 0 K = -5.2 eV per formula unit


Density functional theory data (PBE-GGA) for a geometry-optimized Tb2Cu5Pd4 structure.

Cell lengths 5.119, 5.078, 8.886 Å; angles 81.65, 73.26, 59.73 degrees
Positions (direct):
Tb  0.865  0.000  0.270
Tb  0.135  0.000  0.730
Cu  0.500  0.000  0.000
Cu  0.000  0.500  0.000
Cu  0.500  0.500  0.000
Cu  0.250  0.500  0.500
Cu  0.750  0.500  0.500
Pd  0.463  0.329  0.746
Pd  0.537  0.671  0.254
Pd  0.209  0.329  0.254
Pd  0.791  0.671  0.746

Calculated values
Total magnetization = 0.00 μB per formula unit
Space-group type = No. 69
N(E_F) = 4.0 states/eV/f.u.
Calculated volume = 191.1 Å³ per cell
Formation enthalpy at 0 K = -4.4 eV per formula unit


Density functional theory data (PBE-GGA) for a geometry-optimized TbCu5Pd7 structure.

Cell lengths 5.024, 6.735, 6.735 Å; angles 81.10, 68.10, 68.10 degrees
Positions (direct):
Tb  0.995  0.005  0.005
Cu  0.501  0.996  0.503
Cu  0.000  0.996  0.503
Cu  0.501  0.503  0.996
Cu  0.000  0.503  0.996
Cu  0.731  0.769  0.769
Pd  0.650  0.350  0.350
Pd  0.345  0.655  0.655
Pd  0.998  0.346  0.659
Pd  0.998  0.659  0.346
Pd  0.274  0.226  0.226
Pd  0.504  0.793  0.199
Pd  0.504  0.199  0.793

Calculated values
Total magnetization = 0.00 μB per formula unit
Space-group type = No. 44
N(E_F) = 4.8 states/eV/f.u.
Calculated volume = 196.1 Å³ per cell
Formation enthalpy at 0 K = -4.3 eV per formula unit